# InHI2 (GGA-PBE, relaxed)
# Magnetic moment (μB per formula unit): 0.242
# DFT total energy (eV/atom): -1.9177
data_InHI2
_chemical_formula_sum 'In4 H4 I8'
_space_group_name_H-M_alt 'F m -3 m'
_space_group_IT_number 225
_space_group_name_Hall '-F 4 2 3'
_cell_length_a 7.7085
_cell_length_b 7.7085
_cell_length_c 7.7085
_cell_angle_alpha 90.00
_cell_angle_beta 90.00
_cell_angle_gamma 90.00
loop_
_atom_site_label
_atom_site_fract_x
_atom_site_fract_y
_atom_site_fract_z
In1 0.0000 0.0000 0.0000
H1 0.0000 0.0000 0.5000
I1 0.2500 0.2500 0.2500

---

# Cs3TmPa3Se8 (GGA-PBE, relaxed)
# Formation energy from raw total energies (kJ per mole of atoms): -138.5
# Magnetic moment (μB per formula unit): 5.012
data_Cs3TmPa3Se8
_chemical_formula_sum 'Cs9 Tm3 Pa9 Se24'
_space_group_name_H-M_alt 'R -3 m'
_space_group_IT_number 166
_space_group_name_Hall '-R 3 2"'
_cell_length_a 8.3390
_cell_length_b 8.3390
_cell_length_c 25.9419
_cell_angle_alpha 90.00
_cell_angle_beta 90.00
_cell_angle_gamma 120.00
loop_
_atom_site_label
_atom_site_fract_x
_atom_site_fract_y
_atom_site_fract_z
Cs1 0.0000 0.5000 0.0000
Tm1 0.0000 0.0000 0.5000
Pa1 0.0000 0.5000 0.5000
Se1 0.0000 0.0000 0.2305
Se2 0.0032 0.5016 0.2284

---

# AgTe2Mo (GGA-PBE, relaxed)
# Formation energy from raw total energies (kJ per mole of atoms): 28.9
# Magnetic moment (μB per formula unit): 0.795
# ΔE to the lowest computed polymorph (eV per atom): 0.1963
data_AgTe2Mo
_chemical_formula_sum 'Ag1 Te2 Mo1'
_space_group_name_H-M_alt 'P 4 m m'
_space_group_IT_number 99
_cell_length_a 3.2298
_cell_length_b 3.2298
_cell_length_c 9.1663
_cell_angle_alpha 90.00
_cell_angle_beta 90.00
_cell_angle_gamma 90.00
loop_
_space_group_symop_operation_xyz
'x,y,z'
'-y,x,z'
'-x,-y,z'
'y,-x,z'
'-x,y,z'
'y,x,z'
'x,-y,z'
'-y,-x,z'
loop_
_atom_site_label
_atom_site_fract_x
_atom_site_fract_y
_atom_site_fract_z
Ag1 0.0000 0.0000 0.0000
Te1 0.0000 0.0000 0.3809
Te2 0.5000 0.5000 0.7613
Mo1 0.5000 0.5000 0.2119

---

# Zn2RhPb (GGA-PBE, relaxed)
# Calculated formation energy (eV per atom): 0.12
# Magnetic moment (μB per formula unit): 0.000
data_Zn2RhPb
_chemical_formula_sum 'Zn4 Rh2 Pb2'
_space_group_name_H-M_alt 'C 1 2/m 1'
_space_group_IT_number 12
_cell_length_a 5.4822
_cell_length_b 9.6796
_cell_length_c 3.2925
_cell_angle_alpha 90.00
_cell_angle_beta 121.86
_cell_angle_gamma 90.00
loop_
_space_group_symop_operation_xyz
'x,y,z'
'-x,-y,-z'
'-x,y,-z'
'x,-y,z'
'x+1/2,y+1/2,z'
'-x+1/2,-y+1/2,-z'
'-x+1/2,y+1/2,-z'
'x+1/2,-y+1/2,z'
loop_
_atom_site_label
_atom_site_fract_x
_atom_site_fract_y
_atom_site_fract_z
Zn1 0.2500 0.2500 0.0000
Rh1 0.0000 0.0000 0.0000
Pb1 0.0000 0.5000 0.0000

---

# ZrIn2Sn (GGA-PBE, relaxed)
# Calculated formation energy (eV per atom): 0.10
# Magnetic moment (μB per formula unit): 0.000
data_ZrIn2Sn
_chemical_formula_sum 'Zr4 In8 Sn4'
_space_group_name_H-M_alt 'I -4 2 d'
_space_group_IT_number 122
_space_group_name_Hall 'I -4 2bw'
_cell_length_a 8.2578
_cell_length_b 8.2578
_cell_length_c 6.0067
_cell_angle_alpha 90.00
_cell_angle_beta 90.00
_cell_angle_gamma 90.00
loop_
_atom_site_label
_atom_site_fract_x
_atom_site_fract_y
_atom_site_fract_z
Zr1 0.0000 0.0000 0.0000
In1 0.2447 0.2500 0.6250
Sn1 0.0000 0.0000 0.5000

---

# MgTc2Te (GGA-PBE, relaxed)
# Formation energy from raw total energies (kJ per mole of atoms): 38.9
# Magnetic moment (μB per formula unit): 0.000
# ΔE to the lowest computed polymorph (eV per atom): 0.2665
data_MgTc2Te
_chemical_formula_sum 'Mg1 Tc2 Te1'
_space_group_name_H-M_alt 'P 1 2/m 1'
_space_group_IT_number 10
_cell_length_a 3.3489
_cell_length_b 4.5555
_cell_length_c 5.0101
_cell_angle_alpha 90.00
_cell_angle_beta 93.36
_cell_angle_gamma 90.00
loop_
_space_group_symop_operation_xyz
'x,y,z'
'-x,-y,-z'
'-x,y,-z'
'x,-y,z'
loop_
_atom_site_label
_atom_site_fract_x
_atom_site_fract_y
_atom_site_fract_z
Mg1 0.0000 0.0000 0.0000
Tc1 0.3492 0.5000 0.2012
Te1 0.5000 0.0000 0.5000

---

# ReSnHg2Mo (GGA-PBE, relaxed)
# Calculated formation energy (eV per atom): 1.81
# Magnetic moment (μB per formula unit): 5.975
data_ReSnHg2Mo
_chemical_formula_sum 'Re1 Sn1 Hg2 Mo1'
_space_group_name_H-M_alt 'P 4/m m m'
_space_group_IT_number 123
_space_group_name_Hall '-P 4 2'
_cell_length_a 5.2878
_cell_length_b 5.2878
_cell_length_c 5.2200
_cell_angle_alpha 90.00
_cell_angle_beta 90.00
_cell_angle_gamma 90.00
loop_
_atom_site_label
_atom_site_fract_x
_atom_site_fract_y
_atom_site_fract_z
Re1 0.0000 0.0000 0.0000
Sn1 0.5000 0.5000 0.0000
Hg1 0.0000 0.5000 0.5000
Mo1 0.5000 0.5000 0.5000

---

# NiPW2 (GGA-PBE, relaxed)
# Calculated formation energy (eV per atom): 0.42
# Magnetic moment (μB per formula unit): 0.002
data_NiPW2
_chemical_formula_sum 'Ni4 P4 W8'
_space_group_name_H-M_alt 'F -4 3 m'
_space_group_IT_number 216
_space_group_name_Hall 'F -4 2 3'
_cell_length_a 6.0879
_cell_length_b 6.0879
_cell_length_c 6.0879
_cell_angle_alpha 90.00
_cell_angle_beta 90.00
_cell_angle_gamma 90.00
loop_
_atom_site_label
_atom_site_fract_x
_atom_site_fract_y
_atom_site_fract_z
Ni1 0.0000 0.0000 0.0000
P1 0.2500 0.2500 0.2500
W1 0.0000 0.0000 0.5000
W2 0.2500 0.2500 0.7500

---

Repeat the sixth record exactly.
# MgTc2Te (GGA-PBE, relaxed)
# Formation energy from raw total energies (kJ per mole of atoms): 38.9
# Magnetic moment (μB per formula unit): 0.000
# ΔE to the lowest computed polymorph (eV per atom): 0.2665
data_MgTc2Te
_chemical_formula_sum 'Mg1 Tc2 Te1'
_space_group_name_H-M_alt 'P 1 2/m 1'
_space_group_IT_number 10
_cell_length_a 3.3489
_cell_length_b 4.5555
_cell_length_c 5.0101
_cell_angle_alpha 90.00
_cell_angle_beta 93.36
_cell_angle_gamma 90.00
loop_
_space_group_symop_operation_xyz
'x,y,z'
'-x,-y,-z'
'-x,y,-z'
'x,-y,z'
loop_
_atom_site_label
_atom_site_fract_x
_atom_site_fract_y
_atom_site_fract_z
Mg1 0.0000 0.0000 0.0000
Tc1 0.3492 0.5000 0.2012
Te1 0.5000 0.0000 0.5000